# ScAsH

ScAsH after structural relaxation (GGA-PBE, Alexandria).

Cell: 5.4193 5.5141 6.1478 Å, 90.00 90.00 90.00°
Closest atoms and distances in Å follow each position.
Positions (direct):
Sc: 0.2379 0.2500 0.0378  2 H 1.91-1.93
Sc: 0.2621 0.7500 0.5378  2 H 1.91-1.93
Sc: 0.7379 0.2500 0.4622  2 H 1.91-1.93
Sc: 0.7621 0.7500 0.9622  2 H 1.91-1.93
As: 0.2435 0.2500 0.5513  1 H 1.95
As: 0.2565 0.7500 0.0513  1 H 1.95
As: 0.7435 0.2500 0.9487  1 H 1.95
As: 0.7565 0.7500 0.4487  1 H 1.95
H: 0.0365 0.2500 0.2923  2 Sc 1.91-1.93, 1 As 1.95
H: 0.4635 0.7500 0.7923  2 Sc 1.91-1.93, 1 As 1.95
H: 0.5365 0.2500 0.2077  2 Sc 1.91-1.93, 1 As 1.95
H: 0.9635 0.7500 0.7077  2 Sc 1.91-1.93, 1 As 1.95

Values from the calculation:
Total magnetization, μB/f.u.: 0.000
Total DFT energy (no corrections), eV per atom: -5.300
DOS at the Fermi energy, states/eV/cell: 2.640